Entry 1:
The following is a GGA-PBEsol calculation of crystalline YAuSe at its relaxed geometry, from Alexandria via LeMat-Bulk.

a = 4.7564 Å, b = 4.7564 Å, c = 4.7564 Å
α = 60.00°, β = 60.00°, γ = 60.00°
Positions (direct):
Y: 0.0000 0.0000 0.0000
Au: 0.7500 0.7500 0.7500
Se: 0.2500 0.2500 0.2500

## Properties
As for the crystal system: cubic. As for the space group: F-43m. For the uncorrected formation energy, the calculation gives -1.037 eV/atom. For the volume, the calculation gives 76.1 Å³ per cell. The final energy comes out at -5.90 eV per atom.

=====

Entry 2:
The following is a GGA-PBEsol calculation of crystalline YAu2Se at its relaxed geometry, from Alexandria via LeMat-Bulk.

a = 3.7176 Å, b = 3.7176 Å, c = 6.1737 Å
α = 90.00°, β = 90.00°, γ = 90.00°
Positions (direct):
Y: 0.0000 0.0000 0.0000
Au: 0.0000 0.0000 0.4517
Au: 0.5000 0.5000 0.3278
Se: 0.5000 0.5000 0.8323

## Properties
As for the crystal system: tetragonal. As for the space group: P4mm. For the uncorrected formation energy, the calculation gives -0.756 eV/atom. For the volume, the calculation gives 85.3 Å³ per cell. The final energy comes out at -5.39 eV per atom.

=====

Entry 3:
The following is a GGA-PBEsol calculation of crystalline YAu2Se at its relaxed geometry, from Alexandria via LeMat-Bulk.

a = 3.8774 Å, b = 3.8774 Å, c = 5.5060 Å
α = 90.00°, β = 90.00°, γ = 90.00°
Positions (direct):
Y: 0.0000 0.0000 0.0000
Au: 0.5000 0.5000 0.2495
Au: 0.5000 0.5000 0.7505
Se: 0.0000 0.0000 0.5000

## Properties
As for the crystal system: tetragonal. As for the space group: P4/mmm. For the uncorrected formation energy, the calculation gives -0.673 eV/atom. For the volume, the calculation gives 82.8 Å³ per cell. The final energy comes out at -5.30 eV per atom.

=====

Entry 4:
The following is a GGA-PBEsol calculation of crystalline Y2AuSe at its relaxed geometry, from Alexandria via LeMat-Bulk.

a = 5.0384 Å, b = 5.0384 Å, c = 3.4582 Å
α = 90.00°, β = 90.00°, γ = 90.00°
Positions (direct):
Y: 0.0000 0.5000 0.0000
Y: 0.5000 0.0000 0.0000
Au: 0.0000 0.0000 0.5000
Se: 0.5000 0.5000 0.5000

## Properties
As for the crystal system: tetragonal. As for the space group: P4/mmm. For the uncorrected formation energy, the calculation gives -1.111 eV/atom. For the volume, the calculation gives 87.8 Å³ per cell. The final energy comes out at -6.47 eV per atom.

=====

Entry 5:
The following is a GGA-PBEsol calculation of crystalline YAuSe3 at its relaxed geometry, from Alexandria via LeMat-Bulk.

a = 5.3301 Å, b = 5.3301 Å, c = 5.3301 Å
α = 90.00°, β = 90.00°, γ = 90.00°
Positions (direct):
Y: 0.0000 0.0000 0.0000
Au: 0.5000 0.5000 0.5000
Se: 0.0000 0.0000 0.5000
Se: 0.0000 0.5000 0.0000
Se: 0.5000 0.0000 0.0000

## Properties
As for the crystal system: cubic. As for the space group: Pm-3m. For the uncorrected formation energy, the calculation gives 0.128 eV/atom. For the volume, the calculation gives 151.4 Å³ per cell. The final energy comes out at -4.33 eV per atom.

=====

Entry 6:
The following is a GGA-PBEsol calculation of crystalline Y2AuSe at its relaxed geometry, from Alexandria via LeMat-Bulk.

a = 4.0591 Å, b = 4.0591 Å, c = 5.8778 Å
α = 90.00°, β = 90.00°, γ = 90.00°
Positions (direct):
Y: 0.0000 0.0000 0.0000
Y: 0.5000 0.5000 0.5000
Au: 0.0000 0.0000 0.5000
Se: 0.5000 0.5000 0.0000

## Properties
As for the crystal system: tetragonal. As for the space group: P4/mmm. For the uncorrected formation energy, the calculation gives -1.284 eV/atom. For the volume, the calculation gives 96.8 Å³ per cell. The final energy comes out at -6.64 eV per atom.

=====

Entry 7:
The following is a GGA-PBEsol calculation of crystalline Y2AuSe at its relaxed geometry, from Alexandria via LeMat-Bulk.

a = 5.1978 Å, b = 5.1978 Å, c = 5.1978 Å
α = 130.94°, β = 116.80°, γ = 83.91°
Positions (direct):
Y: 0.2417 0.2417 0.0000
Y: 0.7583 0.7583 0.0000
Au: 0.5000 0.0000 0.5000
Se: 0.0000 0.5000 0.5000

## Properties
As for the crystal system: orthorhombic. As for the space group: Immm. For the uncorrected formation energy, the calculation gives -1.037 eV/atom. For the volume, the calculation gives 90.9 Å³ per cell. The final energy comes out at -6.39 eV per atom.

=====

Entry 8:
The following is a GGA-PBEsol calculation of crystalline YAu2Se at its relaxed geometry, from Alexandria via LeMat-Bulk.

a = 4.8752 Å, b = 4.8752 Å, c = 4.8752 Å
α = 123.75°, β = 117.61°, γ = 88.91°
Positions (direct):
Y: 0.0000 0.0000 0.0000
Au: 0.2571 0.7571 0.5000
Au: 0.5077 0.5077 0.0000
Se: 0.7127 0.2127 0.5000

## Properties
As for the crystal system: orthorhombic. As for the space group: Imm2. For the uncorrected formation energy, the calculation gives -0.687 eV/atom. For the volume, the calculation gives 80.8 Å³ per cell. The final energy comes out at -5.32 eV per atom.